1.
DFT (GGA-PBE) results for a relaxed TmGa2Te4 crystal.

Properties
Calculated volume (Å³/f.u.): 255
Uncorrected formation energy (eV/atom): -0.492

a = 6.205 Å, b = 6.205 Å, c = 6.628 Å
α = 90.00°, β = 90.00°, γ = 90.00°
Space group P-42m (No. 111)
One atom of each set of equivalent atoms:
Tm (0.000, 0.000, 0.000) x1
Ga (0.000, 0.500, 0.500) x2
Te (0.274, 0.274, 0.253) x4

2.
DFT (GGA-PBE) results for a relaxed Tm2Ga2Te7 crystal.

Properties
Calculated volume (Å³/f.u.): 404
Uncorrected formation energy (eV/atom): -0.612

a = 9.072 Å, b = 12.923 Å, c = 7.370 Å
α = 90.00°, β = 110.58°, γ = 90.00°
Space group C2/m (No. 12)
One atom of each set of equivalent atoms:
Tm (0.000, 0.194, 0.000) x4
Ga (0.247, 0.000, 0.627) x4
Te (0.000, 0.500, 0.500) x2
Te (0.156, 0.000, 0.235) x4
Te (0.216, 0.181, 0.763) x8

3.
DFT (GGA-PBE) results for a relaxed Tm3GaTe2 crystal.

Properties
Calculated volume (Å³/f.u.): 164
Uncorrected formation energy (eV/atom): -1.035

a = 4.157 Å, b = 6.005 Å, c = 13.128 Å
α = 90.00°, β = 90.00°, γ = 90.00°
Space group Immm (No. 71)
One atom of each set of equivalent atoms:
Tm (0.000, 0.000, 0.000) x2
Tm (0.000, 0.000, 0.351) x4
Ga (0.000, 0.500, 0.000) x2
Te (0.000, 0.500, 0.326) x4

4.
DFT (GGA-PBE) results for a relaxed Tm3GaTe2 crystal.

Properties
Calculated volume (Å³/f.u.): 187
Uncorrected formation energy (eV/atom): -0.936

a = 5.965 Å, b = 13.995 Å, c = 4.473 Å
α = 90.00°, β = 90.00°, γ = 90.00°
Space group Cmmm (No. 65)
One atom of each set of equivalent atoms:
Tm (0.000, 0.000, 0.000) x2
Tm (0.000, 0.375, 0.500) x4
Ga (0.000, 0.500, 0.000) x2
Te (0.000, 0.153, 0.500) x4

5.
DFT (GGA-PBE) results for a relaxed Tm4GaTe5 crystal.

Properties
Calculated volume (Å³/f.u.): 349
Uncorrected formation energy (eV/atom): -1.017

a = 19.561 Å, b = 4.180 Å, c = 8.890 Å
α = 90.00°, β = 106.32°, γ = 90.00°
Space group C2/m (No. 12)
One atom of each set of equivalent atoms:
Tm (0.015, 0.000, 0.251) x4
Tm (0.167, 0.500, 0.555) x4
Ga (0.000, 0.500, 0.500) x2
Te (0.000, 0.500, 0.000) x2
Te (0.139, 0.000, 0.772) x4
Te (0.174, 0.000, 0.310) x4

6.
DFT (GGA-PBE) results for a relaxed Tm4GaTe3 crystal.

Properties
Calculated volume (Å³/f.u.): 222
Uncorrected formation energy (eV/atom): -1.097

a = 8.645 Å, b = 12.131 Å, c = 4.238 Å
α = 90.00°, β = 90.00°, γ = 90.00°
Space group Cmmm (No. 65)
One atom of each set of equivalent atoms:
Tm (0.000, 0.232, 0.000) x4
Tm (0.224, 0.000, 0.500) x4
Ga (0.000, 0.000, 0.000) x2
Te (0.000, 0.500, 0.000) x2
Te (0.250, 0.250, 0.500) x4